[1]
The following is a PBEsol calculation of a geometry-optimized CrSb structure, from Alexandria via LeMat-Bulk.

Calculated values
* uncorrected formation energy: 0.83 eV per atom
* total magnetic moment: 2.56 μB per cell

Cell and atoms, written as POSCAR:
```
CrSb
1.0
4.942 0.000 0.000
-2.471 4.280 0.000
0.000 0.000 7.295
Cr Sb
4 4
Direct
0.667 0.333 0.882
0.333 0.667 0.382
0.333 0.667 0.118
0.667 0.333 0.618
0.000 0.000 0.750
0.000 0.000 0.250
0.667 0.333 0.250
0.333 0.667 0.750
```

***

[2]
The following is a PBEsol calculation of a geometry-optimized NaScO2F structure, from Alexandria via LeMat-Bulk.

Calculated values
* uncorrected formation energy: -1.35 eV per atom
* total magnetic moment: 1.00 μB per cell

Cell and atoms, written as POSCAR:
```
NaScO2F
1.0
-1.565 3.264 0.940
-1.101 0.545 -3.728
-3.391 -1.837 0.733
Sc Na O F
1 1 2 1
Direct
0.500 0.500 0.500
0.000 0.000 0.000
0.000 0.000 0.500
0.000 0.500 0.000
0.500 0.000 0.000
```

***

[3]
The following is a PBEsol calculation of a geometry-optimized LaMg2Mo structure, from Alexandria via LeMat-Bulk.

Calculated values
* ΔE to the lowest computed polymorph: 133 meV per atom
* energy of formation: 44.5 kJ/mol of atoms
* total magnetic moment: 0.00 μB per cell

Cell and atoms, written as POSCAR:
```
LaMg2Mo
1.0
4.141 0.000 0.000
0.000 4.141 0.000
0.000 0.000 5.077
La Mg Mo
1 2 1
Direct
0.000 0.000 0.500
0.000 0.500 0.000
0.500 0.000 0.000
0.500 0.500 0.500
```